Here is Mg2ScHg after structural relaxation from Alexandria. Energies are from GGA-PBE.

Cell lengths 4.936, 4.937, 4.927 Å; angles 119.98, 119.97, 90.20 degrees
Positions (direct):
1 Sc 0.500 0.500 0.000
2 Mg 0.000 0.000 0.000
3 Mg 0.250 0.750 0.500
4 Hg 0.750 0.250 0.500

Calculated values
Final energy in eV/cell: -10.7
Energy relative to the elements in eV per atom: -0.23

---

Here is Ac3TlSb after structural relaxation from Alexandria. Energies are from GGA-PBE.

Cell lengths 6.256, 6.256, 6.256 Å; angles 90.00, 90.00, 90.00 degrees
Positions (direct):
1 Sb 0.000 0.000 0.000
2 Ac 0.000 0.500 0.000
3 Ac 0.000 0.000 0.500
4 Ac 0.500 0.000 0.000
5 Tl 0.500 0.500 0.500

Calculated values
Final energy in eV/cell: -19.4
Formation energy without anion corrections in eV/atom: -0.115

---

Here is Pr12Sm7In after structural relaxation from Alexandria. Energies are from GGA-PBE.

Cell lengths 10.177, 10.177, 10.177 Å; angles 109.47, 109.47, 109.47 degrees
Positions (direct):
1 Pr 0.562 0.781 0.781
2 Pr 0.999 0.781 0.219
3 Pr 0.438 0.219 0.219
4 Pr 0.001 0.219 0.781
5 Pr 0.781 0.001 0.219
6 Pr 0.781 0.562 0.781
7 Pr 0.219 0.999 0.781
8 Pr 0.219 0.438 0.219
9 Pr 0.781 0.781 0.562
10 Pr 0.219 0.219 0.438
11 Pr 0.781 0.219 0.999
12 Pr 0.219 0.781 0.001
13 Sm 0.500 0.500 0.000
14 Sm 0.000 0.500 0.500
15 Sm 0.500 0.000 0.500
16 Sm 0.500 0.500 0.500
17 Sm 0.000 0.000 0.500
18 Sm 0.500 0.000 0.000
19 Sm 0.000 0.500 0.000
20 In 0.000 0.000 0.000

Calculated values
Final energy in eV/cell: -81.2
Energy relative to the elements in eV per atom: 0.59
Relative energy among the computed polymorphs in meV per atom: 465

---

Here is Pr2NiAg after structural relaxation from Alexandria. Energies are from GGA-PBE.

Cell lengths 4.016, 4.016, 8.119 Å; angles 75.68, 75.68, 60.00 degrees
Positions (direct):
1 Pr 0.737 0.737 0.788
2 Pr 0.263 0.263 0.212
3 Ni 0.000 0.000 0.000
4 Ag 0.500 0.500 0.500

Calculated values
Final energy in eV/cell: -18.7
Energy relative to the elements in eV per atom: -0.14
Relative energy among the computed polymorphs in meV per atom: 94

---

Here is TmIn2Pd3 after structural relaxation from Alexandria. Energies are from GGA-PBE.

Cell lengths 4.743, 4.743, 11.555 Å; angles 90.00, 90.00, 120.00 degrees
Positions (direct):
1 Tm 0.333 0.667 0.669
2 Tm 0.667 0.333 0.331
3 In 0.000 0.000 0.500
4 In 0.333 0.667 0.168
5 In 0.667 0.333 0.832
6 In 0.000 0.000 0.000
7 Pd 0.333 0.667 0.414
8 Pd 0.667 0.333 0.078
9 Pd 0.000 0.000 0.758
10 Pd 0.000 0.000 0.242
11 Pd 0.333 0.667 0.922
12 Pd 0.667 0.333 0.586

Calculated values
Final energy in eV/cell: -59.8
Energy relative to the elements in eV per atom: -0.73

---

Here is KNa2Cu after structural relaxation from Alexandria. Energies are from GGA-PBE.

Cell lengths 3.628, 3.628, 12.895 Å; angles 81.91, 81.91, 60.00 degrees
Positions (direct):
1 Na 0.072 0.072 0.783
2 Na 0.928 0.928 0.217
3 K 0.500 0.500 0.500
4 Cu 0.000 0.000 0.000

Calculated values
Final energy in eV/cell: -5.7
Energy relative to the elements in eV per atom: 0.53
Relative energy among the computed polymorphs in meV per atom: 246

---

Here is NiTe2PdN after structural relaxation from Alexandria. Energies are from GGA-PBE.

Cell lengths 5.300, 5.300, 3.361 Å; angles 90.00, 90.00, 90.00 degrees
Positions (direct):
1 Ni 0.000 0.000 0.000
2 Te 0.000 0.500 0.000
3 Te 0.500 0.000 0.000
4 Pd 0.500 0.500 0.500
5 N 0.000 0.000 0.500

Calculated values
Final energy in eV/cell: -23.7
Formation energy without anion corrections in eV/atom: 0.368
Relative energy among the computed polymorphs in meV per atom: 0

---

Here is LuTl2In after structural relaxation from Alexandria. Energies are from GGA-PBE.

Cell lengths 3.477, 3.477, 11.675 Å; angles 81.44, 81.44, 60.00 degrees
Positions (direct):
1 Tl 0.089 0.089 0.733
2 Tl 0.911 0.911 0.267
3 Lu 0.000 0.000 0.000
4 In 0.500 0.500 0.500

Calculated values
Final energy in eV/cell: -11.6
Energy relative to the elements in eV per atom: 0.10
Relative energy among the computed polymorphs in meV per atom: 302

---

Here is ScAlCd after structural relaxation from Alexandria. Energies are from GGA-PBE.

Cell lengths 4.365, 4.179, 7.014 Å; angles 107.43, 90.00, 90.00 degrees
Positions (direct):
1 Sc 0.399 0.756 0.087
2 Sc 0.399 0.427 0.428
3 Al 0.899 0.272 0.119
4 Al 0.899 0.911 0.396
5 Cd 0.399 0.091 0.757
6 Cd 0.899 0.591 0.757

Calculated values
Final energy in eV/cell: -23.8
Energy relative to the elements in eV per atom: -0.31

---

Here is BeNiW after structural relaxation from Alexandria. Energies are from GGA-PBE.

Cell lengths 4.106, 4.106, 5.041 Å; angles 90.00, 90.00, 120.00 degrees
Positions (direct):
1 Ni 0.333 0.667 0.750
2 Ni 0.667 0.333 0.250
3 W 0.333 0.667 0.250
4 W 0.667 0.333 0.750
5 Be 0.000 0.000 0.000
6 Be 0.000 0.000 0.500

Calculated values
Final energy in eV/cell: -43.5
Energy relative to the elements in eV per atom: 0.23
Relative energy among the computed polymorphs in meV per atom: 472

---

Here is Be4Cl after structural relaxation from Alexandria. Energies are from GGA-PBE.

Cell lengths 4.059, 4.059, 4.059 Å; angles 90.00, 90.00, 90.00 degrees
Positions (direct):
1 Be 0.000 0.000 0.000
2 Be 0.500 0.000 0.500
3 Be 0.000 0.500 0.500
4 Be 0.500 0.500 0.000
5 Cl 0.500 0.500 0.500

Calculated values
Final energy in eV/cell: -9.5
Formation energy without anion corrections in eV/atom: 1.441
Relative energy among the computed polymorphs in meV per atom: 216